1.
A relaxed structure of Cs12Cd3Br5. Source: the Alexandria database, functional PBE.

## Properties
SG: Ia-3d (230)
E: -0.137 Ry/atom
Theoretical density: 2.71 g/cm³
Total magnetic moment: 0.0 μB per formula unit
Raw formation energy: -0.793 eV/atom

```
data_Cs12Cd3Br5
_cell_length_a 19.497
_cell_length_b 19.497
_cell_length_c 19.497
_cell_angle_alpha 109.47
_cell_angle_beta 109.47
_cell_angle_gamma 109.47
_symmetry_space_group_name_H-M 'P 1'
_symmetry_Int_Tables_number 1
_symmetry_space_group_name_Hall 'P 1'
loop_
_atom_site_label
_atom_site_fract_x
_atom_site_fract_y
_atom_site_fract_z
Cs1 0.037 0.211 0.127
Cs2 0.037 0.326 0.911
Cs3 0.085 0.711 0.674
Cs4 0.085 0.873 0.411
Cs5 0.089 0.627 0.415
Cs6 0.089 0.963 0.674
Cs7 0.127 0.037 0.211
Cs8 0.127 0.589 0.915
Cs9 0.174 0.211 0.585
Cs10 0.174 0.463 0.589
Cs11 0.211 0.127 0.037
Cs12 0.211 0.585 0.174
Cs13 0.289 0.326 0.915
Cs14 0.289 0.463 0.373
Cs15 0.326 0.911 0.037
Cs16 0.326 0.915 0.289
Cs17 0.373 0.289 0.463
Cs18 0.373 0.585 0.911
Cs19 0.411 0.085 0.873
Cs20 0.411 0.826 0.537
Cs21 0.415 0.089 0.627
Cs22 0.415 0.826 0.789
Cs23 0.463 0.373 0.289
Cs24 0.463 0.589 0.174
Cs25 0.537 0.411 0.826
Cs26 0.537 0.627 0.711
Cs27 0.585 0.174 0.211
Cs28 0.585 0.911 0.373
Cs29 0.589 0.174 0.463
Cs30 0.589 0.915 0.127
Cs31 0.627 0.415 0.089
Cs32 0.627 0.711 0.537
Cs33 0.674 0.085 0.711
Cs34 0.674 0.089 0.963
Cs35 0.711 0.537 0.627
Cs36 0.711 0.674 0.085
Cs37 0.789 0.415 0.826
Cs38 0.789 0.873 0.963
Cs39 0.826 0.537 0.411
Cs40 0.826 0.789 0.415
Cs41 0.873 0.411 0.085
Cs42 0.873 0.963 0.789
Cs43 0.911 0.037 0.326
Cs44 0.911 0.373 0.585
Cs45 0.915 0.127 0.589
Cs46 0.915 0.289 0.326
Cs47 0.963 0.674 0.089
Cs48 0.963 0.789 0.873
Cd1 0.125 0.250 0.375
Cd2 0.125 0.375 0.750
Cd3 0.250 0.375 0.125
Cd4 0.250 0.875 0.625
Cd5 0.375 0.125 0.250
Cd6 0.375 0.750 0.125
Cd7 0.625 0.250 0.875
Cd8 0.625 0.875 0.750
Cd9 0.750 0.125 0.375
Cd10 0.750 0.625 0.875
Cd11 0.875 0.625 0.250
Cd12 0.875 0.750 0.625
Br1 0.000 0.000 0.000
Br2 0.000 0.000 0.500
Br3 0.000 0.500 0.000
Br4 0.000 0.500 0.500
Br5 0.125 0.750 0.875
Br6 0.125 0.875 0.250
Br7 0.250 0.125 0.875
Br8 0.250 0.625 0.375
Br9 0.375 0.250 0.625
Br10 0.375 0.625 0.750
Br11 0.500 0.000 0.000
Br12 0.500 0.000 0.500
Br13 0.500 0.500 0.000
Br14 0.500 0.500 0.500
Br15 0.625 0.375 0.250
Br16 0.625 0.750 0.375
Br17 0.750 0.375 0.625
Br18 0.750 0.875 0.125
Br19 0.875 0.125 0.750
Br20 0.875 0.250 0.125
```

***

2.
A relaxed structure of SbAuCl2. Source: the Alexandria database, functional PBE.

## Properties
SG: Cm (8)
E: -0.237 Ry/atom
Theoretical density: 5.25 g/cm³
Energy above the most stable polymorph in this dataset: 0.00 kcal/mol of atoms
Total magnetic moment: 0.0 μB per formula unit
Raw formation energy: -0.446 eV/atom

```
data_SbAuCl2
_cell_length_a 8.226
_cell_length_b 3.774
_cell_length_c 8.123
_cell_angle_alpha 90.00
_cell_angle_beta 102.21
_cell_angle_gamma 90.00
_symmetry_space_group_name_H-M 'P 1'
_symmetry_Int_Tables_number 1
_symmetry_space_group_name_Hall 'P 1'
loop_
_atom_site_label
_atom_site_fract_x
_atom_site_fract_y
_atom_site_fract_z
Sb1 0.000 0.000 0.000
Sb2 0.500 0.500 0.000
Au1 0.318 0.000 0.813
Au2 0.818 0.500 0.813
Cl1 0.165 0.500 0.634
Cl2 0.351 0.500 0.226
Cl3 0.665 0.000 0.634
Cl4 0.851 0.000 0.226
```